A plane-wave DFT calculation with PBE+U was carried out for crystalline ZnFe4O6 at its relaxed geometry.

Space group = No. 63
Total DFT energy (no corrections) = -136.6 eV for the cell shown

a b c (Å): 5.2684 5.2684 15.4193
angles (deg): 90.00 90.00 147.33
Closest atoms and distances in Å follow each position.
Element x y z (fractional)
Zn 0.3537 0.6463 0.2500  6 O 2.09-2.32
Zn 0.6463 0.3537 0.7500  6 O 2.09-2.32
Fe 0.1331 0.8669 0.5474  6 O 2.07-2.20
Fe 0.6053 0.3947 0.1372  5 O 2.03-2.05
Fe 0.8669 0.1331 0.4526  6 O 2.07-2.20
Fe 0.3947 0.6053 0.8628  5 O 2.03-2.05
Fe 0.1331 0.8669 0.9526  6 O 2.07-2.20
Fe 0.8669 0.1331 0.0474  6 O 2.07-2.20
Fe 0.3947 0.6053 0.6372  5 O 2.03-2.05
Fe 0.6053 0.3947 0.3628  5 O 2.03-2.05
O 0.5000 0.5000 0.0000  6 Fe 2.13-2.37
O 0.5000 0.5000 0.5000  6 Fe 2.13-2.37
O 0.9705 0.0295 0.3366  3 Fe 2.05-2.07
O 0.0295 0.9705 0.6634  3 Fe 2.05-2.07
O 0.0295 0.9705 0.8366  3 Fe 2.05-2.07
O 0.9705 0.0295 0.1634  3 Fe 2.05-2.07
O 0.2155 0.7845 0.4180  5 Fe 2.04-2.20
O 0.7845 0.2155 0.5820  5 Fe 2.04-2.20
O 0.7845 0.2155 0.9180  5 Fe 2.04-2.20
O 0.2155 0.7845 0.0820  5 Fe 2.04-2.20
O 0.7079 0.2921 0.2500  2 Fe 2.03, 2 Zn 2.09
O 0.2921 0.7079 0.7500  2 Fe 2.03, 2 Zn 2.09